Material: CuAgGe2Pt
Method: DFT, GGA-PBEsol
State: optimized geometry

```
data_CuAgGe2Pt
_cell_length_a 4.418
_cell_length_b 4.418
_cell_length_c 4.750
_cell_angle_alpha 90.00
_cell_angle_beta 90.00
_cell_angle_gamma 90.00
_space_group_name_H-M_alt 'P 4/m m m'
_space_group_IT_number 123
_space_group_name_Hall '-P 4 2'
loop_
_atom_site_label
_atom_site_type_symbol
_atom_site_fract_x
_atom_site_fract_y
_atom_site_fract_z
Cu1 Cu 0.000 0.000 0.000
Ag1 Ag 0.500 0.500 0.500
Ge1 Ge 0.000 0.500 0.000
Pt1 Pt 0.000 0.000 0.500
```

Calculated values
The value obtained for the energy of formation is 578 meV per atom.